No. 1
Nd5Sm3Tm | PBE | optimized geometry

space group	C2/m
polymorph energy (0 for the lowest one)	0.292	eV/atom

The structure in POSCAR format:
```
Nd5Sm3Tm
1.0
5.773 -5.748 0.000
5.773 5.748 0.000
-5.042 0.000 10.575
Nd Sm Tm
10 6 2
Cartesian
-1.576 0.000 4.029
1.689 2.686 3.717
-2.311 0.000 9.576
5.773 2.926 0.000
4.816 2.686 6.858
1.689 -2.686 3.717
5.773 -2.926 0.000
8.816 0.000 0.999
4.816 -2.686 6.858
8.081 0.000 6.546
0.590 0.000 1.649
0.092 0.000 6.899
5.773 0.000 0.000
3.253 0.000 5.288
6.414 0.000 3.676
5.915 0.000 8.926
3.676 0.000 2.166
2.830 0.000 8.410
```

***

No. 2
RePdPt4 | PBE | optimized geometry

space group	Pmmm

The structure in POSCAR format:
```
RePdPt4
1.0
2.774 0.000 0.000
0.000 3.971 0.000
0.000 0.000 8.375
Re Pd Pt
1 1 4
Cartesian
0.000 0.000 0.000
1.387 1.985 4.187
0.000 0.000 2.741
0.000 0.000 5.634
1.387 1.985 1.340
1.387 1.985 7.035
```

***

No. 3
Pr2TmSn2 | PBE | optimized geometry

space group	P4/mbm
polymorph energy (0 for the lowest one)	0.000	eV/atom

The structure in POSCAR format:
```
Pr2TmSn2
1.0
8.117 0.000 0.000
0.000 8.117 0.000
0.000 0.000 4.635
Pr Tm Sn
4 2 4
Cartesian
1.394 2.664 0.000
2.664 6.723 0.000
5.453 1.394 0.000
6.723 5.453 0.000
0.000 0.000 2.317
4.058 4.058 2.317
1.062 5.120 2.317
2.997 1.062 2.317
5.120 7.055 2.317
7.055 2.997 2.317
```

***

No. 4
Ga2Co3Ge | PBE | optimized geometry

space group	Pmmn

The structure in POSCAR format:
```
Ga2Co3Ge
1.0
4.091 0.000 0.000
0.000 12.288 0.000
0.000 0.000 2.889
Ga Co Ge
4 6 2
Cartesian
1.023 0.977 2.887
1.023 5.168 2.887
3.068 7.121 0.001
3.068 11.312 0.001
1.023 3.072 1.441
1.023 7.247 1.446
1.023 11.186 1.446
3.068 1.102 1.443
3.068 5.042 1.443
3.068 9.216 1.447
1.023 9.216 0.002
3.068 3.072 2.887
```

***

No. 5
NaZr2BOs | PBE | optimized geometry

space group	P4/mmm

The structure in POSCAR format:
```
NaZr2BOs
1.0
4.974 0.000 0.000
0.000 4.974 0.000
0.000 0.000 5.229
Na Zr B Os
1 2 1 1
Cartesian
0.000 0.000 0.000
0.000 2.487 2.614
2.487 0.000 2.614
2.487 2.487 0.000
0.000 0.000 2.614
```

***

No. 6
LiTiB | PBE | optimized geometry

space group	P6_3/mmc
polymorph energy (0 for the lowest one)	1.447	eV/atom

The structure in POSCAR format:
```
LiTiB
1.0
3.603 0.000 0.000
-1.801 3.120 0.000
0.000 0.000 8.654
Li Ti B
2 2 2
Cartesian
0.000 2.080 2.163
1.801 1.040 6.490
0.000 0.000 0.000
0.000 0.000 4.327
0.000 0.000 2.163
0.000 0.000 6.490
```

***

no.,DOS(E_F) (states/eV/cell),energy of formation from the pure elements (eV/f.u.)
1,28.3,4.98
2,7.5,-0.57
3,8.9,-3.56
4,4.5,-1.27
5,6.1,7.35
6,7.1,3.10